Entry 1:
# PBE RbCeIO6, relaxed
data_RbCeIO6
_cell_length_a 5.756
_cell_length_b 5.756
_cell_length_c 6.137
_cell_angle_alpha 90.00
_cell_angle_beta 90.00
_cell_angle_gamma 60.00
_symmetry_space_group_name_H-M 'P 1'
_symmetry_Int_Tables_number 1
loop_
_symmetry_equiv_pos_as_xyz
'x,y,z'
loop_
_atom_site_label
_atom_site_type_symbol
_atom_site_fract_x
_atom_site_fract_y
_atom_site_fract_z
_atom_site_occupancy
O1 O 0.360 0.048 0.677 1
O2 O 0.048 0.592 0.677 1
O3 O 0.592 0.048 0.323 1
O4 O 0.592 0.360 0.677 1
O5 O 0.360 0.592 0.323 1
O6 O 0.048 0.360 0.323 1
Rb1 Rb 0.000 0.000 0.000 1
Ce1 Ce 0.667 0.667 0.500 1
I1 I 0.333 0.333 0.500 1
# ρ: 4.229 g/cm3
# Uncorrected formation energy: -1.580 eV/atom
# VASP energy: -52.4 eV for the cell shown
# Space group: P312 (149)

=====

Entry 2:
# PBE CeS2IO8, relaxed
data_CeS2IO8
_cell_length_a 6.072
_cell_length_b 6.072
_cell_length_c 7.292
_cell_angle_alpha 90.00
_cell_angle_beta 90.00
_cell_angle_gamma 120.00
_symmetry_space_group_name_H-M 'P 1'
_symmetry_Int_Tables_number 1
loop_
_symmetry_equiv_pos_as_xyz
'x,y,z'
loop_
_atom_site_label
_atom_site_type_symbol
_atom_site_fract_x
_atom_site_fract_y
_atom_site_fract_z
_atom_site_occupancy
S1 S 0.667 0.333 0.941 1
S2 S 0.333 0.667 0.059 1
O1 O 0.600 0.800 0.137 1
O2 O 0.200 0.800 0.137 1
O3 O 0.800 0.200 0.863 1
O4 O 0.200 0.400 0.137 1
O5 O 0.800 0.600 0.863 1
O6 O 0.333 0.667 0.861 1
O7 O 0.667 0.333 0.139 1
O8 O 0.400 0.200 0.863 1
I1 I 0.000 0.000 0.500 1
Ce1 Ce 0.000 0.000 0.000 1
# ρ: 3.275 g/cm3
# Uncorrected formation energy: -1.564 eV/atom
# VASP energy: -74.2 eV for the cell shown
# Space group: P-3m1 (164)